CoHO2 | PBE with a Hubbard U | optimized geometry

**Fermi-level density of states**: 2.25 states/eV per cell
**Total energy**: -16.604 eV for the cell shown
**Total magnetization**: 1.49 μB/f.u.

Cell lengths 5.5333, 5.5333, 5.5333 Å; angles 28.12, 28.12, 28.12 degrees
Last column: nearest neighbours and their distance in Å.
Fractional positions:
H (0.5000, 0.5000, 0.5000)  6 O 1.84
Co (0.0000, 0.0000, 0.0000)  2 O 1.67
O (0.8949, 0.8949, 0.8949)  1 Co 1.67, 3 H 1.84
O (0.1051, 0.1051, 0.1051)  1 Co 1.67, 3 H 1.84